# 1
The following is a PBE-GGA calculation of TaRuI2O after structural relaxation, from Alexandria via LeMat-Bulk.

Its polymorph energy (0 for the lowest one) is 0 meV/atom. The total energy is -5.6454 eV per atom. The calculation puts the spin magnetization at 4.00 μB per formula unit.

The space group is P4/mmm (No. 123) and the conventional cell measures 5.718, 5.718 and 3.837 Å, with angles of 90.00, 90.00 and 90.00 degrees. The inequivalent atoms are Ta at (0.000, 0.000, 0.000), Ru at (0.500, 0.500, 0.500), I at (0.000, 0.500, 0.000) and O at (0.000, 0.000, 0.500).

***

# 2
The following is a PBE-GGA calculation of AlSiW4 after structural relaxation, from Alexandria via LeMat-Bulk.

The total energy is -9.5454 eV per atom. The calculation puts the spin magnetization at 0.00 μB per formula unit.

The space group is F-43m (No. 216) and the conventional cell measures 7.433, 7.433 and 7.433 Å, with angles of 90.00, 90.00 and 90.00 degrees. The inequivalent atoms are Al at (0.000, 0.000, 0.000), Si at (0.250, 0.250, 0.750) and W at (0.125, 0.125, 0.375).

***

# 3
The following is a PBE-GGA calculation of Fe4BRh6 after structural relaxation, from Alexandria via LeMat-Bulk.

The calculation puts the energy of formation at 0.092 eV/atom. The total energy is -7.6026 eV per atom. The calculation puts the spin magnetization at 15.79 μB per formula unit.

The space group is P4/mnc (No. 128) and the conventional cell measures 6.302, 6.302 and 7.384 Å, with angles of 90.00, 90.00 and 90.00 degrees. The inequivalent atoms are Fe at (0.132, 0.368, 0.250), B at (0.000, 0.000, 0.000), Rh at (0.000, 0.000, 0.302) and Rh at (0.138, 0.688, 0.000).

***

# 4
The following is a PBE-GGA calculation of NaCaSnPb after structural relaxation, from Alexandria via LeMat-Bulk.

Its polymorph energy (0 for the lowest one) is 0 meV/atom. The calculation puts the energy of formation at -0.359 eV/atom. The total energy is -3.1174 eV per atom. The calculation puts the spin magnetization at 0.00 μB per formula unit.

The space group is Pmmm (No. 47) and the conventional cell measures 4.687, 4.835 and 4.946 Å, with angles of 90.00, 90.00 and 90.00 degrees. The inequivalent atoms are Na at (0.000, 0.000, 0.000), Ca at (0.000, 0.500, 0.500), Sn at (0.500, 0.000, 0.500) and Pb at (0.500, 0.500, 0.000).